1.
An optimized crystal structure of Tb4PmDy2Tm. Source: the Alexandria database, functional PBE.

POSCAR file:
```
Tb4PmDy2Tm
1.0
9.338 -0.029 -1.674
-0.035 9.338 -1.674
-5.949 -5.954 8.211
Dy Tb Pm Tm
4 8 2 2
direct
0.500 0.000 0.500
0.500 0.000 0.000
0.000 0.000 0.500
0.500 0.500 0.000
0.253 0.749 0.501
0.747 0.750 0.997
0.253 0.250 0.003
0.249 0.753 0.001
0.750 0.753 0.503
0.250 0.247 0.497
0.747 0.251 0.499
0.751 0.247 0.999
0.000 0.500 0.000
0.000 0.500 0.500
0.000 0.000 0.000
0.500 0.500 0.500
```

Properties
For the calculated total energy, the calculation gives -4.1859 eV per atom. The calculation puts the calculated formation energy at 3.460 eV per formula unit. Its space group is C2/c, No. 15.

2.
An optimized crystal structure of Tb6Pm3Dy2Tm. Source: the Alexandria database, functional PBE.

POSCAR file:
```
Tb6Pm3Dy2Tm
1.0
6.189 0.000 0.007
-3.093 5.361 0.007
-1.041 -1.802 11.656
Tb Dy Pm Tm
6 2 3 1
direct
0.750 0.750 0.247
0.250 0.250 0.753
0.415 0.082 0.246
0.585 0.918 0.754
0.082 0.415 0.246
0.918 0.585 0.754
0.667 0.333 0.000
0.333 0.667 0.000
0.167 0.833 0.500
0.500 0.500 0.500
0.833 0.167 0.500
0.000 0.000 0.000
```

Properties
For the calculated total energy, the calculation gives -4.6266 eV per atom. The calculation puts the calculated formation energy at 0.190 eV per formula unit. Its space group is C2/m, No. 12.

3.
An optimized crystal structure of Tb2Pm6DyY3. Source: the Alexandria database, functional PBE.

POSCAR file:
```
Tb2Pm6DyY3
1.0
6.260 0.000 0.008
-3.128 5.422 0.008
-1.055 -1.827 11.694
Tb Pm Y Dy
2 6 3 1
direct
0.667 0.333 0.000
0.333 0.667 0.000
0.916 0.583 0.751
0.583 0.916 0.751
0.750 0.750 0.250
0.250 0.250 0.750
0.084 0.417 0.249
0.417 0.084 0.249
0.500 0.500 0.500
0.167 0.833 0.500
0.833 0.167 0.500
0.000 0.000 0.000
```

Properties
For the calculated total energy, the calculation gives -5.1356 eV per atom. The calculation puts the calculated formation energy at 0.132 eV per formula unit. Its space group is C2/m, No. 12.

4.
An optimized crystal structure of Tb6Pm2Dy3Y. Source: the Alexandria database, functional PBE.

POSCAR file:
```
Tb6Pm2Dy3Y
1.0
6.185 0.001 0.010
-3.090 5.358 0.010
-1.045 -1.809 11.661
Pm Tb Y Dy
2 6 1 3
direct
0.667 0.333 0.000
0.333 0.667 0.000
0.418 0.085 0.252
0.085 0.418 0.252
0.915 0.582 0.748
0.249 0.249 0.747
0.751 0.751 0.253
0.582 0.915 0.748
0.000 0.000 0.000
0.834 0.166 0.500
0.500 0.500 0.500
0.166 0.834 0.500
```

Properties
For the calculated total energy, the calculation gives -4.7815 eV per atom. The calculation puts the calculated formation energy at 0.175 eV per formula unit. Its space group is C2/m, No. 12.

5.
An optimized crystal structure of TbPm2DyY5. Source: the Alexandria database, functional PBE.

POSCAR file:
```
TbPm2DyY5
1.0
-6.677 -1.344 -5.372
-1.050 -7.956 3.295
-1.042 7.524 6.417
Dy Y Tb Pm
2 10 2 4
direct
0.750 0.250 0.500
0.250 0.750 0.500
0.500 0.500 0.000
0.429 0.348 0.277
0.071 0.571 0.723
0.929 0.429 0.277
0.652 0.152 0.723
0.848 0.929 0.277
0.571 0.652 0.723
0.000 0.000 0.000
0.152 0.071 0.723
0.348 0.848 0.277
0.250 0.250 0.500
0.750 0.750 0.500
0.383 0.883 0.000
0.617 0.117 0.000
0.117 0.383 0.000
0.883 0.617 0.000
```

Properties
For the calculated total energy, the calculation gives -5.4140 eV per atom. The calculation puts the calculated formation energy at 2.328 eV per formula unit. Its space group is I4/mcm, No. 140.

6.
An optimized crystal structure of TbPm2Dy6Y. Source: the Alexandria database, functional PBE.

POSCAR file:
```
TbPm2Dy6Y
1.0
-3.685 8.589 -2.481
-3.074 -4.139 -7.140
-4.609 -0.573 7.483
Y Dy Pm Tb
2 12 4 2
direct
0.250 0.981 0.019
0.750 0.019 0.981
0.313 0.977 0.425
0.443 0.253 0.873
0.813 0.425 0.977
0.557 0.747 0.127
0.120 0.710 0.500
0.943 0.873 0.253
0.380 0.500 0.290
0.880 0.290 0.500
0.620 0.500 0.710
0.687 0.023 0.575
0.057 0.127 0.747
0.187 0.575 0.023
0.042 0.300 0.193
0.542 0.193 0.300
0.458 0.807 0.700
0.958 0.700 0.807
0.250 0.408 0.592
0.750 0.592 0.408
```

Properties
For the calculated total energy, the calculation gives -4.7052 eV per atom. The calculation puts the calculated formation energy at 1.156 eV per formula unit. Its space group is C2/c, No. 15.

7.
An optimized crystal structure of TbPmDyY. Source: the Alexandria database, functional PBE.

POSCAR file:
```
TbPmDyY
1.0
-3.577 3.365 -1.272
-3.583 -3.485 0.858
3.276 1.557 5.019
Y Tb Pm Dy
1 1 1 1
direct
0.446 0.446 0.891
0.696 0.196 0.391
0.945 0.945 0.891
0.196 0.696 0.391
```

Properties
For the calculated total energy, the calculation gives -5.0936 eV per atom. The calculation puts the calculated formation energy at 0.073 eV per formula unit. Its space group is I-4m2, No. 119. The calculation puts the offset from the most stable computed form at 0 meV per atom.

8.
An optimized crystal structure of Tb6Pm3DyY2. Source: the Alexandria database, functional PBE.

POSCAR file:
```
Tb6Pm3DyY2
1.0
6.209 0.000 0.010
-3.103 5.378 0.010
-1.050 -1.817 11.689
Y Pm Tb Dy
2 3 6 1
direct
0.333 0.667 0.000
0.667 0.333 0.000
0.500 0.500 0.500
0.167 0.833 0.500
0.833 0.167 0.500
0.584 0.917 0.752
0.416 0.083 0.248
0.083 0.416 0.248
0.917 0.584 0.752
0.250 0.250 0.752
0.750 0.750 0.248
0.000 0.000 0.000
```

Properties
For the calculated total energy, the calculation gives -4.9481 eV per atom. The calculation puts the calculated formation energy at 0.187 eV per formula unit. Its space group is C2/m, No. 12.

9.
An optimized crystal structure of TbPm6Dy2Y. Source: the Alexandria database, functional PBE.

POSCAR file:
```
TbPm6Dy2Y
1.0
-4.188 8.729 -0.019
-2.702 -2.004 -8.272
-4.874 -3.012 6.849
Pm Dy Tb Y
12 4 2 2
direct
0.555 0.759 0.118
0.945 0.882 0.241
0.120 0.708 0.492
0.620 0.492 0.708
0.815 0.434 0.985
0.380 0.508 0.292
0.880 0.292 0.508
0.445 0.241 0.882
0.055 0.118 0.759
0.315 0.985 0.434
0.185 0.566 0.015
0.685 0.015 0.566
0.955 0.701 0.800
0.545 0.200 0.299
0.455 0.800 0.701
0.045 0.299 0.200
0.250 0.973 0.027
0.750 0.027 0.973
0.250 0.409 0.591
0.750 0.591 0.409
```

Properties
For the calculated total energy, the calculation gives -4.7662 eV per atom. The calculation puts the calculated formation energy at 1.140 eV per formula unit. Its space group is C2/c, No. 15.

10.
An optimized crystal structure of Tb5PmDyY2. Source: the Alexandria database, functional PBE.

POSCAR file:
```
Tb5PmDyY2
1.0
-1.109 -1.731 5.254
9.896 -2.405 -1.732
2.955 9.465 3.743
Tb Pm Y Dy
10 2 4 2
direct
0.390 0.779 0.023
0.298 0.596 0.707
0.610 0.221 0.523
0.718 0.435 0.811
0.521 0.042 0.238
0.282 0.565 0.311
0.479 0.958 0.738
0.981 0.962 0.524
0.019 0.038 0.024
0.702 0.404 0.207
0.415 0.831 0.454
0.585 0.169 0.954
0.114 0.229 0.320
0.886 0.771 0.820
0.889 0.779 0.235
0.111 0.221 0.735
0.799 0.598 0.511
0.201 0.402 0.011
```

Properties
For the calculated total energy, the calculation gives -4.8965 eV per atom. The calculation puts the calculated formation energy at 1.364 eV per formula unit. Its space group is Cmc2_1, No. 36.

11.
An optimized crystal structure of TbPm3DyY. Source: the Alexandria database, functional PBE.

POSCAR file:
```
TbPm3DyY
1.0
5.111 0.000 0.000
0.000 7.973 -1.191
0.000 -3.354 10.262
Tb Pm Dy Y
2 6 2 2
direct
0.250 0.124 0.624
0.750 0.876 0.376
0.250 0.623 0.792
0.750 0.374 0.542
0.250 0.126 0.958
0.750 0.377 0.208
0.750 0.874 0.042
0.250 0.626 0.458
0.250 0.626 0.125
0.750 0.374 0.875
0.250 0.123 0.292
0.750 0.877 0.708
```

Properties
For the calculated total energy, the calculation gives -4.9738 eV per atom. The calculation puts the calculated formation energy at 0.105 eV per formula unit. Its space group is P2_1/m, No. 11.

12.
An optimized crystal structure of Tb2Pm6DyY. Source: the Alexandria database, functional PBE.

POSCAR file:
```
Tb2Pm6DyY
1.0
1.554 1.898 -9.354
2.746 -8.493 -0.643
-8.781 1.651 -0.500
Pm Tb Dy Y
12 4 2 2
direct
0.619 0.495 0.710
0.881 0.290 0.505
0.446 0.241 0.879
0.187 0.567 0.015
0.119 0.710 0.495
0.946 0.879 0.241
0.554 0.759 0.121
0.687 0.015 0.567
0.381 0.505 0.290
0.313 0.985 0.433
0.054 0.121 0.759
0.813 0.433 0.985
0.544 0.199 0.301
0.456 0.801 0.699
0.956 0.699 0.801
0.044 0.301 0.199
0.250 0.410 0.590
0.750 0.590 0.410
0.750 0.025 0.975
0.250 0.975 0.025
```

Properties
For the calculated total energy, the calculation gives -4.7689 eV per atom. The calculation puts the calculated formation energy at 1.142 eV per formula unit. Its space group is C2/c, No. 15.

Please write out number 2 again, unchanged.
An optimized crystal structure of Tb6Pm3Dy2Tm. Source: the Alexandria database, functional PBE.

POSCAR file:
```
Tb6Pm3Dy2Tm
1.0
6.189 0.000 0.007
-3.093 5.361 0.007
-1.041 -1.802 11.656
Tb Dy Pm Tm
6 2 3 1
direct
0.750 0.750 0.247
0.250 0.250 0.753
0.415 0.082 0.246
0.585 0.918 0.754
0.082 0.415 0.246
0.918 0.585 0.754
0.667 0.333 0.000
0.333 0.667 0.000
0.167 0.833 0.500
0.500 0.500 0.500
0.833 0.167 0.500
0.000 0.000 0.000
```

Properties
For the calculated total energy, the calculation gives -4.6266 eV per atom. The calculation puts the calculated formation energy at 0.190 eV per formula unit. Its space group is C2/m, No. 12.

Question: What is the calculated total energy in the ninth record?
Answer: -4.7662 eV per atom

Question: calculated formation energy of number 12 (Tb2Pm6DyY)?
Answer: 1.142 eV per formula unit